[1]
Below is a relaxed DyZnCoPd crystal, with properties calculated at the PBE level.

Summary:
SG   F-43m
Uncorrected energy   -19.6 eV for the cell shown
Calculated formation energy   -8.0 kcal/mol of atoms

Unit cell a=4.539 b=4.539 c=4.539 alpha=60.00 beta=60.00 gamma=60.00
Fractional positions:
Zn (0.000, 0.000, 0.000)
Co (0.750, 0.750, 0.750)
Pd (0.250, 0.250, 0.250)
Dy (0.500, 0.500, 0.500)

[2]
Below is a relaxed PmDy3Co crystal, with properties calculated at the PBE level.

Summary:
SG   P2_1/c
Uncorrected energy   -103.1 eV for the cell shown
Energy above the most stable polymorph in this dataset   0.38 eV per formula unit
Calculated formation energy   -0.5 kcal/mol of atoms

Unit cell a=7.375 b=7.830 c=9.927 alpha=107.22 beta=90.00 gamma=90.00
Fractional positions:
Pm (0.943, 0.681, 0.253)
Pm (0.057, 0.319, 0.747)
Pm (0.443, 0.319, 0.247)
Pm (0.557, 0.681, 0.753)
Dy (0.128, 0.076, 0.388)
Dy (0.872, 0.924, 0.612)
Dy (0.628, 0.924, 0.112)
Dy (0.372, 0.076, 0.888)
Dy (0.496, 0.792, 0.387)
Dy (0.504, 0.208, 0.613)
Dy (0.996, 0.208, 0.113)
Dy (0.004, 0.792, 0.887)
Dy (0.199, 0.590, 0.535)
Dy (0.801, 0.410, 0.465)
Dy (0.699, 0.410, 0.965)
Dy (0.301, 0.590, 0.035)
Co (0.254, 0.950, 0.604)
Co (0.746, 0.050, 0.396)
Co (0.754, 0.050, 0.896)
Co (0.246, 0.950, 0.104)

Number 1: DOS(E_F) 0.448 states/eV per atom. Number 2: DOS(E_F) 1.165 states/eV per atom.